## ZrPaCrS6 (PBE)

Data for a geometry-optimized ZrPaCrS6 structure.

Cell: 6.2464 6.2464 5.9446 Å, 90.00 90.00 120.00°
Space group P312 (No. 149)
Symmetry-distinct sites (fractional):
Zr (0.0000, 0.0000, 0.0000) (multiplicity 1)
Pa (0.3333, 0.6667, 0.5000) (multiplicity 1)
Cr (0.6667, 0.3333, 0.0000) (multiplicity 1)
S (0.3519, 0.0206, 0.7627) (multiplicity 6)

* VASP energy: -63.0 eV for the cell shown
* formation energy (no corrections): -112.9 kJ per mole of atoms

---

## CaHPd2Pb (PBE)

Data for a geometry-optimized CaHPd2Pb structure.

Cell: 4.3789 4.3789 4.4184 Å, 90.00 90.00 90.00°
Space group P4/mmm (No. 123)
Symmetry-distinct sites (fractional):
Ca (0.0000, 0.0000, 0.0000) (multiplicity 1)
H (0.0000, 0.0000, 0.5000) (multiplicity 1)
Pd (0.0000, 0.5000, 0.5000) (multiplicity 2)
Pb (0.5000, 0.5000, 0.0000) (multiplicity 1)

* VASP energy: -21.0 eV for the cell shown

---

## Pa2NbTe4 (PBE)

Data for a geometry-optimized Pa2NbTe4 structure.

Cell: 15.7860 3.9329 7.2643 Å, 90.00 116.35 90.00°
Space group C2/m (No. 12)
Symmetry-distinct sites (fractional):
Pa (0.2424, 0.0000, 0.2472) (multiplicity 4)
Nb (0.0000, 0.0000, 0.0000) (multiplicity 2)
Te (0.1024, 0.5000, 0.3035) (multiplicity 4)
Te (0.1132, 0.0000, 0.7838) (multiplicity 4)

* VASP energy: -91.1 eV for the cell shown
* formation energy (no corrections): -53.7 kJ per mole of atoms

---

## PSCl (PBE)

Data for a geometry-optimized PSCl structure.

Cell: 3.1917 6.8606 9.2279 Å, 78.75 80.30 76.56°
Space group P-1 (No. 2)
Symmetry-distinct sites (fractional):
P (0.0402, 0.2554, 0.1746) (multiplicity 2)
S (0.4322, 0.3329, 0.3169) (multiplicity 2)
Cl (0.1742, 0.9402, 0.2221) (multiplicity 2)

* VASP energy: -24.8 eV for the cell shown
* formation energy (no corrections): -32.0 kJ per mole of atoms

---

## Dy2Mo2C3 (PBE)

Data for a geometry-optimized Dy2Mo2C3 structure.

Cell: 11.7772 3.3505 5.7304 Å, 90.00 112.57 90.00°
Space group C2/m (No. 12)
Symmetry-distinct sites (fractional):
Dy (0.1100, 0.0000, 0.3239) (multiplicity 4)
Mo (0.1575, 0.5000, 0.8253) (multiplicity 4)
C (0.0000, 0.5000, 0.5000) (multiplicity 2)
C (0.2483, 0.5000, 0.2332) (multiplicity 4)

* VASP energy: -122.1 eV for the cell shown

---

## Li3MnRe (PBE)

Data for a geometry-optimized Li3MnRe structure.

Cell: 4.0228 4.0228 4.0228 Å, 90.00 90.00 90.00°
Space group Pm-3m (No. 221)
Symmetry-distinct sites (fractional):
Li (0.0000, 0.0000, 0.5000) (multiplicity 3)
Mn (0.0000, 0.0000, 0.0000) (multiplicity 1)
Re (0.5000, 0.5000, 0.5000) (multiplicity 1)

* VASP energy: -18.3 eV for the cell shown
* energy relative to the lowest polymorph listed for this composition: 0 meV per atom

---

## NaDyPbCl6 (PBE)

Data for a geometry-optimized NaDyPbCl6 structure.

Cell: 7.0269 7.0269 12.4988 Å, 90.00 90.00 120.00°
Space group P-31c (No. 163)
Symmetry-distinct sites (fractional):
Na (0.3333, 0.6667, 0.2500) (multiplicity 2)
Dy (0.3333, 0.6667, 0.7500) (multiplicity 2)
Pb (0.0000, 0.0000, 0.0000) (multiplicity 2)
Cl (0.0185, 0.3571, 0.6302) (multiplicity 12)

* VASP energy: -73.9 eV for the cell shown
* formation energy (no corrections): -174.2 kJ per mole of atoms

---

## NaPdAu3 (PBE)

Data for a geometry-optimized NaPdAu3 structure.

Cell: 4.8137 4.8137 4.8137 Å, 90.00 90.00 90.00°
Space group Pm-3m (No. 221)
Symmetry-distinct sites (fractional):
Na (0.0000, 0.0000, 0.0000) (multiplicity 1)
Pd (0.5000, 0.5000, 0.5000) (multiplicity 1)
Au (0.0000, 0.0000, 0.5000) (multiplicity 3)

* VASP energy: -11.7 eV for the cell shown
* energy relative to the lowest polymorph listed for this composition: 665 meV per atom

---

## Gd3YCo (PBE)

Data for a geometry-optimized Gd3YCo structure.

Cell: 5.3153 5.3153 5.3153 Å, 90.00 90.00 90.00°
Space group Pm-3m (No. 221)
Symmetry-distinct sites (fractional):
Gd (0.0000, 0.0000, 0.5000) (multiplicity 3)
Y (0.5000, 0.5000, 0.5000) (multiplicity 1)
Co (0.0000, 0.0000, 0.0000) (multiplicity 1)

* VASP energy: -55.8 eV for the cell shown

---

## Sc2Co (PBE)

Data for a geometry-optimized Sc2Co structure.

Cell: 3.2617 14.0824 4.7287 Å, 90.00 90.00 90.00°
Space group Cmcm (No. 63)
Symmetry-distinct sites (fractional):
Sc (0.0000, 0.0718, 0.2500) (multiplicity 4)
Sc (0.0000, 0.2147, 0.7500) (multiplicity 4)
Co (0.0000, 0.4264, 0.2500) (multiplicity 4)

* VASP energy: -81.8 eV for the cell shown

---

## Ba2Sn8Sb (PBE)

Data for a geometry-optimized Ba2Sn8Sb structure.

Cell: 6.6958 6.8040 9.2138 Å, 70.32 77.46 61.17°
Space group P-1 (No. 2)
Symmetry-distinct sites (fractional):
Ba (0.2464, 0.4314, 0.1565) (multiplicity 2)
Sn (0.0631, 0.6987, 0.4762) (multiplicity 2)
Sn (0.1689, 0.8074, 0.7433) (multiplicity 2)
Sn (0.2310, 0.0189, 0.9930) (multiplicity 2)
Sn (0.4780, 0.2746, 0.7281) (multiplicity 2)
Sb (0.5000, 0.0000, 0.5000) (multiplicity 1)

* VASP energy: -43.3 eV for the cell shown
* formation energy (no corrections): -28.7 kJ per mole of atoms

---

## La5Y3Th (PBE)

Data for a geometry-optimized La5Y3Th structure.

Cell: 8.8747 8.8747 16.3524 Å, 90.00 90.00 90.00°
Space group I4/mcm (No. 140)
Symmetry-distinct sites (fractional):
La (0.0000, 0.0000, 0.0000) (multiplicity 4)
La (0.2012, 0.2988, 0.1422) (multiplicity 16)
Y (0.0000, 0.0000, 0.2500) (multiplicity 4)
Y (0.1200, 0.3800, 0.5000) (multiplicity 8)
Th (0.0000, 0.5000, 0.2500) (multiplicity 4)

* VASP energy: -194.6 eV for the cell shown

---

## Rb3SnI (PBE)

Data for a geometry-optimized Rb3SnI structure.

Cell: 6.8734 6.8734 6.8734 Å, 90.00 90.00 90.00°
Space group Pm-3m (No. 221)
Symmetry-distinct sites (fractional):
Rb (0.0000, 0.0000, 0.5000) (multiplicity 3)
Sn (0.5000, 0.5000, 0.5000) (multiplicity 1)
I (0.0000, 0.0000, 0.0000) (multiplicity 1)

* VASP energy: -10.2 eV for the cell shown
* formation energy (no corrections): -34.4 kJ per mole of atoms
* energy relative to the lowest polymorph listed for this composition: 0 meV per atom

---

## Bi2Te2Se (PBE)

Data for a geometry-optimized Bi2Te2Se structure.

Cell: 8.4176 8.4176 4.3822 Å, 90.00 90.00 90.00°
Space group P4/mbm (No. 127)
Symmetry-distinct sites (fractional):
Bi (0.1824, 0.3176, 0.0000) (multiplicity 4)
Te (0.1423, 0.6423, 0.5000) (multiplicity 4)
Se (0.0000, 0.0000, 0.0000) (multiplicity 2)

* VASP energy: -35.6 eV for the cell shown
* formation energy (no corrections): -4.9 kJ per mole of atoms
* energy relative to the lowest polymorph listed for this composition: 256 meV per atom

---

## TmThMgPa (PBE)

Data for a geometry-optimized TmThMgPa structure.

Cell: 7.6264 7.6264 7.6264 Å, 90.00 90.00 90.00°
Space group F-43m (No. 216)
Symmetry-distinct sites (fractional):
Tm (0.0000, 0.0000, 0.0000) (multiplicity 4)
Th (0.0000, 0.0000, 0.5000) (multiplicity 4)
Mg (0.2500, 0.2500, 0.2500) (multiplicity 4)
Pa (0.2500, 0.2500, 0.7500) (multiplicity 4)

* VASP energy: -87.2 eV for the cell shown

---

## InSiP2O (PBE)

Data for a geometry-optimized InSiP2O structure.

Cell: 4.9005 4.9005 3.3286 Å, 90.00 90.00 90.00°
Space group P4/mmm (No. 123)
Symmetry-distinct sites (fractional):
In (0.0000, 0.0000, 0.0000) (multiplicity 1)
Si (0.5000, 0.5000, 0.5000) (multiplicity 1)
P (0.0000, 0.5000, 0.5000) (multiplicity 2)
O (0.5000, 0.5000, 0.0000) (multiplicity 1)

* VASP energy: -25.3 eV for the cell shown
* formation energy (no corrections): -26.6 kJ per mole of atoms
* energy relative to the lowest polymorph listed for this composition: 0 meV per atom

---

## V4FeH (PBE)

Data for a geometry-optimized V4FeH structure.

Cell: 4.9650 4.6577 6.0739 Å, 90.00 104.79 90.00°
Space group P2_1/c (No. 14)
Symmetry-distinct sites (fractional):
V (0.0978, 0.1475, 0.1981) (multiplicity 4)
V (0.3417, 0.5980, 0.1221) (multiplicity 4)
Fe (0.5000, 0.0000, 0.0000) (multiplicity 2)
H (0.0000, 0.0000, 0.5000) (multiplicity 2)

* VASP energy: -95.8 eV for the cell shown

---

## PrNdSm2Tm (PBE)

Data for a geometry-optimized PrNdSm2Tm structure.

Cell: 9.1085 6.4312 6.4294 Å, 90.00 109.19 90.00°
Space group P2/c (No. 13)
Symmetry-distinct sites (fractional):
Pr (0.0000, 0.0000, 0.0000) (multiplicity 2)
Nd (0.5000, 0.1622, 0.2500) (multiplicity 2)
Sm (0.3168, 0.3241, 0.6613) (multiplicity 4)
Tm (0.0000, 0.4917, 0.2500) (multiplicity 2)

* VASP energy: -44.2 eV for the cell shown

---

## CuSbN3 (PBE)

Data for a geometry-optimized CuSbN3 structure.

Cell: 3.8001 3.8001 3.8001 Å, 90.00 90.00 90.00°
Space group Pm-3m (No. 221)
Symmetry-distinct sites (fractional):
Cu (0.0000, 0.0000, 0.0000) (multiplicity 1)
Sb (0.5000, 0.5000, 0.5000) (multiplicity 1)
N (0.0000, 0.0000, 0.5000) (multiplicity 3)

* VASP energy: -24.4 eV for the cell shown
* formation energy (no corrections): 169.1 kJ per mole of atoms